(1)
Material: PIrC
Method: DFT, PBE-GGA
State: relaxed

The structure belongs to space group Cm (No. 8); the cell edges are 5.011, 2.802 and 5.047 Å and the angles 90.00°, 101.72° and 90.00°. The inequivalent atoms are P at (0.000, 0.000, 0.000), Ir at (0.063, 0.500, 0.405) and C at (0.140, 0.500, 0.839).

The density of states at the Fermi level is 2.9 states/eV/cell. The calculation puts the raw total energy at -7.438 eV per atom.

---

(2)
Material: PIrC3
Method: DFT, PBE-GGA
State: relaxed

The structure belongs to space group Pm-3m (No. 221); the cell edges are 3.634, 3.634 and 3.634 Å and the angles 90.00°, 90.00° and 90.00°. The inequivalent atoms are P at (0.000, 0.000, 0.000), Ir at (0.500, 0.500, 0.500) and C at (0.000, 0.000, 0.500).

The density of states at the Fermi level is 3.2 states/eV/cell. The calculation puts the raw total energy at -6.274 eV per atom.

---

(3)
Material: PIrC
Method: DFT, PBE-GGA
State: relaxed

The structure belongs to space group Cm (No. 8); the cell edges are 7.399, 2.807 and 4.587 Å and the angles 90.00°, 111.91° and 90.00°. The inequivalent atoms are P at (0.000, 0.000, 0.000), Ir at (0.340, 0.000, 0.266) and C at (0.402, 0.500, 0.595).

The density of states at the Fermi level is 1.5 states/eV/cell. The calculation puts the raw total energy at -7.340 eV per atom.

---

(4)
Material: PIrC
Method: DFT, PBE-GGA
State: relaxed

The structure belongs to space group Cm (No. 8); the cell edges are 7.600, 3.652 and 3.677 Å and the angles 90.00°, 106.85° and 90.00°. The inequivalent atoms are P at (0.000, 0.000, 0.000), Ir at (0.191, 0.500, 0.091) and C at (0.291, 0.500, 0.641).

The density of states at the Fermi level is 2.2 states/eV/cell. The calculation puts the raw total energy at -7.298 eV per atom.

---

Here are the calculated M_tot numbers, same order: 0.00, 0.00, 0.00, 0.00 (μB/cell).
Here are the calculated energy of formation from the pure elements numbers, same order: 0.394, 2.115, 0.492, 0.534 (eV/atom).
Here are the calculated energy above the lowest structure with this stoichiometry numbers, same order: 0.219, 0.000, 0.318, 0.359 (eV/atom).